No. 1
First-principles (PBE) data for a relaxed Tb3SmZn2 crystal, as listed in OQMD via LeMat-Bulk.

Cell lengths 3.5786, 3.5786, 12.2551 Å; angles 90.00, 90.00, 90.00 degrees
Positions (direct):
Tb (0.0000, 0.0000, 0.7111)
Tb (0.0000, 0.0000, 0.2889)
Tb (0.0000, 0.0000, 0.0000)
Sm (0.5000, 0.5000, 0.5000)
Zn (0.5000, 0.5000, 0.8560)
Zn (0.5000, 0.5000, 0.1440)

## Properties
Mass density in Mg/m³: 8.02
ΔE_f in eV/atom: -0.228
SG: No. 123

***

No. 2
First-principles (PBE) data for a relaxed Hf4CoNiN2 crystal, as listed in OQMD via LeMat-Bulk.

Cell lengths 5.6312, 3.1631, 6.6306 Å; angles 90.00, 106.56, 90.00 degrees
Positions (direct):
Hf (0.4868, 0.0000, 0.2326)
Hf (0.5061, 0.5000, 0.7732)
Hf (0.9734, 0.5000, 0.1885)
Hf (0.0269, 0.0000, 0.8069)
N (0.2611, 0.5000, 0.0112)
N (0.7377, 0.0000, 0.9884)
Ni (0.8089, 0.5000, 0.5034)
Co (0.1990, 0.0000, 0.4958)

## Properties
Mass density in Mg/m³: 12.61
Energy relative to the lowest polymorph listed for this composition in eV per atom: 0.011
SG: No. 6

***

No. 3
First-principles (PBE) data for a relaxed AlReAsO crystal, as listed in OQMD via LeMat-Bulk.

Cell lengths 4.2660, 4.7998, 5.6033 Å; angles 90.00, 90.00, 90.00 degrees
Positions (direct):
As (0.5000, 0.1032, 0.7905)
As (0.5000, 0.8968, 0.2905)
Al (0.0000, 0.2796, 0.1133)
Al (0.0000, 0.7204, 0.6133)
Re (0.5000, 0.5978, 0.9252)
Re (0.5000, 0.4022, 0.4252)
O (0.0000, 0.5944, 0.9251)
O (0.0000, 0.4056, 0.4251)

## Properties
Mass density in Mg/m³: 8.80
Energy relative to the lowest polymorph listed for this composition in eV per atom: 0.261
SG: No. 26

***

Which of these has the lowest mass density? Tb3SmZn2